Ho5Te2Pd: optimized geometry, PBE.

Cell: 6.809 6.809 13.221 Å, 90.00 90.00 129.06°
Element x y z (fractional)
Ho1 0.060 0.940 0.614
Ho2 0.060 0.940 0.886
Ho3 0.360 0.640 0.250
Ho4 0.389 0.611 0.587
Ho5 0.389 0.611 0.913
Ho6 0.611 0.389 0.087
Ho7 0.611 0.389 0.413
Ho8 0.640 0.360 0.750
Ho9 0.940 0.060 0.114
Ho10 0.940 0.060 0.386
Te1 0.195 0.805 0.081
Te2 0.195 0.805 0.419
Te3 0.805 0.195 0.581
Te4 0.805 0.195 0.919
Pd1 0.226 0.774 0.750
Pd2 0.774 0.226 0.250

## Properties
Its crystal system is orthorhombic. The calculation puts the raw formation energy at -630 meV/atom.